# PmGeAu | Alexandria | GGA-PBE | optimized geometry
# total energy	-0.1849	hartree per atom
# energy of formation	-78.8	kJ per mole of atoms
# crystal system	hexagonal
# relative energy among the computed polymorphs	0.00	eV/f.u.
data_PmGeAu
_chemical_formula_sum 'Pm2 Ge2 Au2'
_cell_length_a 4.471
_cell_length_b 4.471
_cell_length_c 7.898
_cell_angle_alpha 90.00
_cell_angle_beta 90.00
_cell_angle_gamma 120.00
_symmetry_space_group_name_H-M 'P 1'
_symmetry_Int_Tables_number 1
loop_
_symmetry_equiv_pos_as_xyz
'x,y,z'
loop_
_atom_site_label
_atom_site_fract_x
_atom_site_fract_y
_atom_site_fract_z
_atom_site_occupancy
Ge1 0.667 0.833 0.750 1
Ge2 0.333 0.167 0.250 1
Pm1 0.000 0.500 0.500 1
Pm2 0.000 0.500 0.000 1
Au1 0.667 0.833 0.250 1
Au2 0.333 0.167 0.750 1